1.
A geometry-optimized HgBiPb2 structure, computed with PBE-GGA.

Cell lengths 5.5306, 5.5306, 5.5306 Å; angles 60.00, 60.00, 60.00 degrees
Closest atoms and distances in Å follow each position.
Sites, in units of the cell vectors:
Hg1 0.0000 0.0000 0.0000  4 Bi 3.39, 4 Pb 3.39
Bi1 0.2500 0.2500 0.2500  4 Pb 3.39, 4 Hg 3.39
Pb1 0.5000 0.5000 0.5000  4 Pb 3.39, 4 Bi 3.39
Pb2 0.7500 0.7500 0.7500  4 Hg 3.39, 4 Pb 3.39

- Crystal system: cubic
- Symmetry: F-43m (216)
- Total energy: -11.53 eV for the cell shown

---

2.
A geometry-optimized Tm4TeC2S structure, computed with PBE-GGA.

Cell lengths 3.6934, 3.6934, 13.3125 Å; angles 90.00, 90.00, 120.00 degrees
Closest atoms and distances in Å follow each position.
Sites, in units of the cell vectors:
Tm1 0.0000 0.0000 0.1378  3 C 2.51
Tm2 0.0000 0.0000 0.8622  3 C 2.51
Tm3 0.3333 0.6667 0.3318  3 C 2.48
Tm4 0.3333 0.6667 0.6682  3 C 2.48
Te1 0.0000 0.0000 0.5000  6 Tm 3.09
C1 0.6667 0.3333 0.2371  6 Tm 2.48-2.51
C2 0.6667 0.3333 0.7629  6 Tm 2.48-2.51
S1 0.3333 0.6667 0.0000  6 Tm 2.81

- Crystal system: hexagonal
- Symmetry: P-6m2 (187)
- Total energy: -52.38 eV for the cell shown
- Magnetization: 0.001 μB/atom

---

3.
A geometry-optimized MgInNiB structure, computed with PBE-GGA.

Cell lengths 4.3229, 4.3229, 4.3229 Å; angles 60.00, 60.00, 60.00 degrees
Closest atoms and distances in Å follow each position.
Sites, in units of the cell vectors:
Mg1 0.0000 0.0000 0.0000  4 In 2.65, 4 B 2.65
In1 0.7500 0.7500 0.7500  4 Ni 2.65, 4 Mg 2.65
Ni1 0.5000 0.5000 0.5000  4 In 2.65, 4 B 2.65
B1 0.2500 0.2500 0.2500  4 Mg 2.65, 4 Ni 2.65

- Crystal system: cubic
- Symmetry: F-43m (216)
- Total energy: -14.02 eV for the cell shown
- Magnetization: 0.001 μB/atom

---

4.
A geometry-optimized NbGaFeAu structure, computed with PBE-GGA.

Cell lengths 4.4775, 4.4775, 4.4775 Å; angles 60.00, 60.00, 60.00 degrees
Closest atoms and distances in Å follow each position.
Sites, in units of the cell vectors:
Nb1 0.0000 0.0000 0.0000  4 Fe 2.74, 4 Au 2.74
Ga1 0.5000 0.5000 0.5000  4 Fe 2.74, 4 Au 2.74
Fe1 0.7500 0.7500 0.7500  4 Nb 2.74, 4 Ga 2.74
Au1 0.2500 0.2500 0.2500  4 Nb 2.74, 4 Ga 2.74

- Crystal system: cubic
- Symmetry: F-43m (216)
- Total energy: -24.53 eV for the cell shown
- Magnetization: 0.375 μB/atom

---

5.
A geometry-optimized HfGaFeRe structure, computed with PBE-GGA.

Cell lengths 4.4722, 4.4722, 4.4722 Å; angles 60.00, 60.00, 60.00 degrees
Closest atoms and distances in Å follow each position.
Sites, in units of the cell vectors:
Hf1 0.0000 0.0000 0.0000  4 Re 2.74, 4 Ga 2.74
Ga1 0.2500 0.2500 0.2500  4 Fe 2.74, 4 Hf 2.74
Fe1 0.5000 0.5000 0.5000  4 Ga 2.74, 4 Re 2.74
Re1 0.7500 0.7500 0.7500  4 Fe 2.74, 4 Hf 2.74

- Crystal system: cubic
- Symmetry: F-43m (216)
- Total energy: -33.27 eV for the cell shown
- Magnetization: 0.833 μB/atom

---

6.
A geometry-optimized KTaCuTe2S structure, computed with PBE-GGA.

Cell lengths 8.2538, 8.2538, 9.8620 Å; angles 90.00, 90.00, 152.88 degrees
Closest atoms and distances in Å follow each position.
Sites, in units of the cell vectors:
K1 0.2353 0.7647 0.7500  6 Te 3.39-3.57, 2 S 3.57
K2 0.7647 0.2353 0.2500  6 Te 3.39-3.57, 2 S 3.57
Ta1 0.5000 0.5000 0.0000  2 S 2.59, 4 Te 2.84
Ta2 0.5000 0.5000 0.5000  2 S 2.59, 4 Te 2.84
Cu1 0.0284 0.9716 0.2500  2 S 2.29, 2 Te 2.57
Cu2 0.9716 0.0284 0.7500  2 S 2.29, 2 Te 2.57
Te1 0.1270 0.8730 0.0450  1 Cu 2.57, 2 Ta 2.84
Te2 0.1270 0.8730 0.4550  1 Cu 2.57, 2 Ta 2.84
Te3 0.8730 0.1270 0.5450  1 Cu 2.57, 2 Ta 2.84
Te4 0.8730 0.1270 0.9550  1 Cu 2.57, 2 Ta 2.84
S1 0.4516 0.5484 0.2500  2 Cu 2.29
S2 0.5484 0.4516 0.7500  2 Cu 2.29

- Crystal system: orthorhombic
- Symmetry: Cmcm (63)
- Total energy: -60.46 eV for the cell shown
- Magnetization: 0.028 μB/atom

---

7.
A geometry-optimized CsZnCoTe3 structure, computed with PBE-GGA.

Cell lengths 8.6158, 8.6158, 10.8018 Å; angles 90.00, 90.00, 152.92 degrees
Closest atoms and distances in Å follow each position.
Sites, in units of the cell vectors:
Cs1 0.2421 0.7579 0.7500  8 Te 3.89-3.98, 2 Zn 3.92, 2 Cs 4.03
Cs2 0.7579 0.2421 0.2500  8 Te 3.89-3.98, 2 Zn 3.92, 2 Cs 4.03
Zn1 0.4582 0.5418 0.2500  4 Te 2.61-2.63
Zn2 0.5418 0.4582 0.7500  4 Te 2.61-2.63
Co1 0.0000 0.0000 0.0000  6 Te 2.65-2.88
Co2 0.0000 0.0000 0.5000  6 Te 2.65-2.88
Te1 0.0592 0.9408 0.2500  2 Zn 2.63, 2 Co 2.88
Te2 0.3992 0.6008 0.0262  1 Zn 2.61, 2 Co 2.65
Te3 0.3992 0.6008 0.4738  1 Zn 2.61, 2 Co 2.65
Te4 0.6008 0.3992 0.5262  1 Zn 2.61, 2 Co 2.65
Te5 0.6008 0.3992 0.9738  1 Zn 2.61, 2 Co 2.65
Te6 0.9408 0.0592 0.7500  2 Zn 2.63, 2 Co 2.88

- Crystal system: orthorhombic
- Symmetry: Cmcm (63)
- Total energy: -41.39 eV for the cell shown
- Magnetization: 0.025 μB/atom

---

8.
A geometry-optimized Gd3Tl4SnPb2 structure, computed with PBE-GGA.

Cell lengths 12.5720, 12.5720, 4.7254 Å; angles 90.00, 90.00, 158.20 degrees
Closest atoms and distances in Å follow each position.
Sites, in units of the cell vectors:
Gd1 0.0000 0.0000 0.0000  4 Sn 3.35, 4 Pb 3.37, 4 Tl 3.42
Gd2 0.1906 0.8094 0.0000  8 Tl 3.27-3.45, 2 Pb 3.29
Gd3 0.8094 0.1906 0.0000  8 Tl 3.27-3.45, 2 Pb 3.29
Tl1 0.2926 0.7074 0.5000  2 Tl 3.18, 6 Gd 3.38-3.45
Tl2 0.4006 0.5994 0.0000  4 Gd 3.27-3.42, 4 Pb 3.35, 2 Sn 3.41, 2 Tl 3.56
Tl3 0.5994 0.4006 0.0000  4 Gd 3.27-3.42, 4 Pb 3.35, 2 Sn 3.41, 2 Tl 3.56
Tl4 0.7074 0.2926 0.5000  2 Tl 3.18, 6 Gd 3.38-3.45
Sn1 0.5000 0.5000 0.5000  4 Gd 3.35, 4 Pb 3.38, 4 Tl 3.41
Pb1 0.0976 0.9024 0.5000  4 Gd 3.29-3.37, 6 Tl 3.35-3.61, 2 Sn 3.38
Pb2 0.9024 0.0976 0.5000  4 Gd 3.29-3.37, 6 Tl 3.35-3.61, 2 Sn 3.38

- Crystal system: orthorhombic
- Symmetry: Cmmm (65)
- Total energy: -38.13 eV for the cell shown
- Magnetization: 0.001 μB/atom

---

9.
A geometry-optimized KCd2Sn2 structure, computed with PBE-GGA.

Cell lengths 7.1351, 7.1351, 7.1351 Å; angles 140.18, 140.18, 57.58 degrees
Closest atoms and distances in Å follow each position.
Sites, in units of the cell vectors:
K1 0.0000 0.0000 0.0000  8 Sn 3.72, 8 Cd 3.96
Cd1 0.2500 0.7500 0.5000  4 Sn 2.96
Cd2 0.7500 0.2500 0.5000  4 Sn 2.96
Sn1 0.3851 0.3851 0.0000  1 Sn 2.87, 4 Cd 2.96
Sn2 0.6149 0.6149 0.0000  1 Sn 2.87, 4 Cd 2.96

- Crystal system: tetragonal
- Symmetry: I4/mmm (139)
- Total energy: -11.75 eV for the cell shown

---

10.
A geometry-optimized PrGd2Mg3AgAu2 structure, computed with PBE-GGA.

Cell lengths 4.0548, 7.8488, 7.8488 Å; angles 120.24, 90.00, 90.00 degrees
Closest atoms and distances in Å follow each position.
Sites, in units of the cell vectors:
Pr1 0.0000 0.0000 0.0000  4 Au 3.16, 1 Ag 3.27, 6 Mg 3.34-3.50
Gd1 0.0000 0.1697 0.5851  4 Au 3.08-3.09, 1 Ag 3.25, 2 Mg 3.33
Gd2 0.0000 0.5851 0.1697  4 Au 3.08-3.09, 1 Ag 3.25, 2 Mg 3.33
Mg1 0.5000 0.3396 0.3396  2 Ag 2.77, 2 Au 3.05
Mg2 0.5000 0.5820 0.8316  2 Ag 2.82, 2 Au 2.93-3.04
Mg3 0.5000 0.8316 0.5820  2 Ag 2.82, 2 Au 2.93-3.04
Ag1 0.0000 0.5817 0.5817  6 Mg 2.77-2.82
Au1 0.5000 0.2581 0.9164  3 Mg 2.93-3.05, 4 Gd 3.08-3.09, 2 Pr 3.16
Au2 0.5000 0.9164 0.2581  3 Mg 2.93-3.05, 4 Gd 3.08-3.09, 2 Pr 3.16

- Crystal system: orthorhombic
- Symmetry: Amm2 (38)
- Total energy: -32.97 eV for the cell shown
- Magnetization: 0.000 μB/atom

---

11.
A geometry-optimized PuCoW structure, computed with PBE-GGA.

Cell lengths 4.2088, 4.2088, 4.2088 Å; angles 60.00, 60.00, 60.00 degrees
Closest atoms and distances in Å follow each position.
Sites, in units of the cell vectors:
Pu1 0.0000 0.0000 0.0000  4 Co 2.58
Co1 0.2500 0.2500 0.2500  4 W 2.58, 4 Pu 2.58
W1 0.5000 0.5000 0.5000  4 Co 2.58

- Crystal system: cubic
- Symmetry: F-43m (216)
- Total energy: -31.31 eV for the cell shown
- Magnetization: 0.003 μB/atom
- Formation energy: 92.88 kJ/mol of atoms

---

12.
A geometry-optimized DyY2Si4Au4 structure, computed with PBE-GGA.

Cell lengths 12.8852, 12.8852, 12.8852 Å; angles 161.56, 161.06, 26.56 degrees
Closest atoms and distances in Å follow each position.
Sites, in units of the cell vectors:
Dy1 0.0000 0.0000 0.0000  4 Au 3.12, 8 Si 3.18
Y1 0.3525 0.8525 0.5000  6 Si 3.14-3.27, 8 Au 3.25-3.38
Y2 0.6475 0.1475 0.5000  6 Si 3.14-3.27, 8 Au 3.25-3.38
Si1 0.1896 0.6896 0.5000  5 Au 2.41-2.60
Si2 0.4534 0.4534 0.0000  1 Si 2.34, 2 Au 2.42
Si3 0.5466 0.5466 0.0000  1 Si 2.34, 2 Au 2.42
Si4 0.8104 0.3104 0.5000  5 Au 2.41-2.60
Au1 0.0934 0.5934 0.5000  3 Si 2.41-2.42
Au2 0.2522 0.2522 0.0000  4 Si 2.57-2.60
Au3 0.7478 0.7478 0.0000  4 Si 2.57-2.60
Au4 0.9066 0.4066 0.5000  3 Si 2.41-2.42

- Crystal system: orthorhombic
- Symmetry: Immm (71)
- Total energy: -60.22 eV for the cell shown
- Magnetization: 0.001 μB/atom